This record from Alexandria describes crystalline Cd2SnHg2Pb2 at its relaxed geometry. The functional is PBE.

Cell lengths 5.650, 5.650, 11.200 Å; angles 110.15, 110.15, 34.79 degrees
Sites, in units of the cell vectors:
1 Cd 0.053 0.053 0.266
2 Cd 0.947 0.947 0.734
3 Sn 0.500 0.500 0.000
4 Hg 0.282 0.282 0.136
5 Hg 0.718 0.718 0.864
6 Pb 0.164 0.164 0.586
7 Pb 0.836 0.836 0.414

Properties
The value obtained for the calculated density is 10.12 g/cm3. The calculation puts the density of states at the Fermi level at 2.913 states/eV/f.u. The total energy comes out at -1.918 eV/atom. For the total moment, the calculation gives 0.00 μB/f.u.